Record 1
This record from Alexandria describes an optimized crystal structure of Tm3Hg4Pd4. The functional is PBE.

Unit cell a=3.6018 b=7.8786 c=16.6349 alpha=90.00 beta=90.00 gamma=90.00
Last column: nearest neighbours and their distance in Å.
Space group Immm (No. 71)
Asymmetric unit:
Tm 0.0000 0.0000 0.0000 [2 per cell]  4 Pd 3.02
Tm 0.0000 0.5000 0.1081 [4 per cell]  6 Pd 2.87-2.96, 4 Hg 3.17
Hg 0.0000 0.3137 0.3417 [8 per cell]  4 Pd 2.80-2.85, 1 Hg 2.93
Pd 0.0000 0.0000 0.2574 [4 per cell]  6 Hg 2.84-2.85, 2 Tm 2.87
Pd 0.0000 0.1918 0.5000 [4 per cell]  2 Hg 2.80, 6 Tm 2.96-3.02, 1 Pd 3.02

## Properties
The energy of formation comes out at -54 kJ per mole of atoms. Its total DFT energy (no corrections) is -3.7806 eV/atom. The value obtained for the volume is 21.5 Å³ per atom.

---

Record 2
This record from Alexandria describes an optimized crystal structure of TbCd8Hg6. The functional is PBE.

Unit cell a=8.3099 b=8.3099 c=18.8450 alpha=90.00 beta=90.00 gamma=120.00
Last column: nearest neighbours and their distance in Å.
Space group R-3 (No. 148, hexagonal axes)
Asymmetric unit:
Tb 0.0000 0.0000 0.0000 [3 per cell]  6 Hg 3.09, 6 Cd 3.30
Cd 0.0000 0.0000 0.4209 [6 per cell]  4 Cd 2.98-3.15, 3 Hg 3.08
Cd 0.0776 0.5379 0.8119 [18 per cell]  5 Cd 3.07-3.19, 4 Hg 3.22-3.27, 1 Tb 3.30
Hg 0.0806 0.5405 0.3779 [18 per cell]  5 Cd 3.08-3.27, 1 Tb 3.09, 4 Hg 3.15-3.42

## Properties
The energy of formation comes out at -4 kJ per mole of atoms. Its total DFT energy (no corrections) is -0.9540 eV/atom. The energy above the lowest structure with this stoichiometry is 0 meV per atom. The value obtained for the volume is 25.0 Å³ per atom.

---

Record 3
This record from Alexandria describes an optimized crystal structure of Ca3Sm3YTe8. The functional is PBE.

Unit cell a=8.8537 b=8.8537 c=22.1572 alpha=90.00 beta=90.00 gamma=120.00
Last column: nearest neighbours and their distance in Å.
Space group R-3m (No. 166, hexagonal axes)
Asymmetric unit:
Ca 0.0000 0.5000 0.0000 [9 per cell]  6 Te 3.15-3.16
Sm 0.0000 0.5000 0.5000 [9 per cell]  6 Te 3.14-3.16
Y 0.0000 0.0000 0.5000 [3 per cell]  6 Te 3.14
Te 0.0000 0.0000 0.2503 [6 per cell]  3 Ca 3.15, 3 Sm 3.16
Te 0.0010 0.5005 0.2491 [18 per cell]  1 Y 3.14, 2 Sm 3.14, 2 Ca 3.16

## Properties
Its total DFT energy (no corrections) is -4.9641 eV/atom. The uncorrected formation energy comes out at -1.51 eV per atom. The value obtained for the volume is 33.4 Å³ per atom.

---

Record 4
This record from Alexandria describes an optimized crystal structure of RbTbGe2O6. The functional is PBE.

Unit cell a=10.5256 b=11.1137 c=5.4036 alpha=90.00 beta=95.95 gamma=90.00
Last column: nearest neighbours and their distance in Å.
Space group C2/c (No. 15)
Asymmetric unit:
Rb 0.0000 0.0922 0.2500 [4 per cell]  6 O 2.76-2.83
Tb 0.0000 0.2834 0.7500 [4 per cell]  4 O 2.18-2.26
Ge 0.2062 0.4157 0.2672 [8 per cell]  4 O 1.71-1.87
O 0.1039 0.3143 0.1139 [8 per cell]  1 Ge 1.71
O 0.1335 0.1267 0.7127 [8 per cell]  1 Ge 1.74
O 0.1701 0.4406 0.5934 [8 per cell]  2 Ge 1.86-1.87

## Properties
Its total DFT energy (no corrections) is -6.5644 eV/atom. The uncorrected formation energy comes out at -2.11 eV per atom. The value obtained for the volume is 15.7 Å³ per atom.

---

Record 5
This record from Alexandria describes an optimized crystal structure of Ca4MgOs. The functional is PBE.

Unit cell a=8.7251 b=8.7251 c=8.7251 alpha=90.00 beta=90.00 gamma=90.00
Last column: nearest neighbours and their distance in Å.
Space group F-43m (No. 216)
Asymmetric unit:
Ca 0.1235 0.1235 0.3765 [16 per cell]  6 Ca 3.05-3.12
Mg 0.0000 0.0000 0.0000 [4 per cell]  12 Ca 3.62, 4 Os 3.78
Os 0.2500 0.2500 0.7500 [4 per cell]  12 Ca 3.61, 4 Mg 3.78

## Properties
The energy of formation comes out at 90 kJ per mole of atoms. Its total DFT energy (no corrections) is -2.5346 eV/atom. The value obtained for the volume is 27.7 Å³ per atom.

---

Record 6
This record from Alexandria describes an optimized crystal structure of MnZn2P. The functional is PBE.

Unit cell a=2.7989 b=2.7989 c=24.4204 alpha=90.00 beta=90.00 gamma=120.00
Last column: nearest neighbours and their distance in Å.
Space group R3m (No. 160, hexagonal axes)
Asymmetric unit:
Mn 0.0000 0.0000 0.0000 [3 per cell]  3 P 2.22
Zn 0.0000 0.0000 0.5114 [3 per cell]  3 P 2.78, 9 Zn 2.80
Zn 0.0000 0.0000 0.7509 [3 per cell]  3 Mn 2.62, 9 Zn 2.80
P 0.0000 0.0000 0.2709 [3 per cell]  3 Mn 2.22

## Properties
The energy of formation comes out at 0 kJ per mole of atoms. Its total DFT energy (no corrections) is -4.2824 eV/atom. The value obtained for the volume is 13.8 Å³ per atom.

---

Record 7
This record from Alexandria describes an optimized crystal structure of PrInRh. The functional is PBE.

Unit cell a=6.7681 b=6.7681 c=6.7681 alpha=90.00 beta=90.00 gamma=90.00
Last column: nearest neighbours and their distance in Å.
Space group F-43m (No. 216)
Asymmetric unit:
Pr 0.0000 0.0000 0.0000 [4 per cell]  4 Rh 2.93
In 0.0000 0.0000 0.5000 [4 per cell]  4 Rh 2.93
Rh 0.2500 0.2500 0.2500 [4 per cell]  4 In 2.93, 4 Pr 2.93

## Properties
The energy of formation comes out at -51 kJ per mole of atoms. Its total DFT energy (no corrections) is -5.4873 eV/atom. The value obtained for the volume is 25.8 Å³ per atom.

---

Record 8
This record from Alexandria describes an optimized crystal structure of Ba2Al4ZnAu3. The functional is PBE.

Unit cell a=4.6143 b=4.6143 c=10.8347 alpha=90.00 beta=90.00 gamma=90.00
Last column: nearest neighbours and their distance in Å.
Space group P-4m2 (No. 115)
Asymmetric unit:
Ba 0.0000 0.5000 0.2481 [2 per cell]  8 Al 3.52-3.57, 2 Zn 3.54, 6 Au 3.54-3.55
Al 0.0000 0.0000 0.5000 [1 per cell]  4 Au 2.67
Al 0.0000 0.5000 0.8736 [2 per cell]  2 Zn 2.68, 3 Au 2.68-2.71
Al 0.5000 0.5000 0.5000 [1 per cell]  4 Au 2.67
Zn 0.5000 0.5000 0.0000 [1 per cell]  4 Al 2.68
Au 0.0000 0.0000 0.0000 [1 per cell]  4 Al 2.68
Au 0.0000 0.5000 0.6238 [2 per cell]  5 Al 2.67-2.71

## Properties
The energy of formation comes out at -49 kJ per mole of atoms. Its total DFT energy (no corrections) is -3.5011 eV/atom. The value obtained for the volume is 23.1 Å³ per atom.

---

Record 9
This record from Alexandria describes an optimized crystal structure of CeHoMgRh. The functional is PBE.

Unit cell a=7.1868 b=7.1868 c=7.1868 alpha=90.00 beta=90.00 gamma=90.00
Last column: nearest neighbours and their distance in Å.
Space group F-43m (No. 216)
Asymmetric unit:
Ce 0.0000 0.0000 0.0000 [4 per cell]  4 Mg 3.11, 4 Rh 3.11
Ho 0.0000 0.0000 0.5000 [4 per cell]  4 Rh 3.11, 4 Mg 3.11
Mg 0.2500 0.2500 0.2500 [4 per cell]  4 Ce 3.11, 4 Ho 3.11
Rh 0.2500 0.2500 0.7500 [4 per cell]  4 Ce 3.11, 4 Ho 3.11

## Properties
The energy of formation comes out at -29 kJ per mole of atoms. Its total DFT energy (no corrections) is -5.1625 eV/atom. The value obtained for the volume is 23.2 Å³ per atom.

---

Record 10
This record from Alexandria describes an optimized crystal structure of KFeP. The functional is PBE.

Unit cell a=3.9577 b=3.9577 c=5.3864 alpha=90.00 beta=90.00 gamma=120.00
Last column: nearest neighbours and their distance in Å.
Space group P-6m2 (No. 187)
Asymmetric unit:
K 0.0000 0.0000 0.0000 [1 per cell]  6 Fe 3.53, 6 P 3.53
Fe 0.3333 0.6667 0.5000 [1 per cell]  3 P 2.29
P 0.6667 0.3333 0.5000 [1 per cell]  3 Fe 2.29

## Properties
The energy of formation comes out at -4 kJ per mole of atoms. Its total DFT energy (no corrections) is -5.0268 eV/atom. The value obtained for the volume is 24.4 Å³ per atom.

---

Record 11
This record from Alexandria describes an optimized crystal structure of MnZnOs3. The functional is PBE.

Unit cell a=4.3978 b=4.3978 c=4.3978 alpha=90.00 beta=90.00 gamma=90.00
Last column: nearest neighbours and their distance in Å.
Space group Pm-3m (No. 221)
Asymmetric unit:
Mn 0.0000 0.0000 0.0000 [1 per cell]  12 Os 3.11
Zn 0.5000 0.5000 0.5000 [1 per cell]  6 Os 2.20
Os 0.0000 0.5000 0.5000 [3 per cell]  2 Zn 2.20

## Properties
The energy of formation comes out at 230 kJ per mole of atoms. Its total DFT energy (no corrections) is -6.4458 eV/atom. The energy above the lowest structure with this stoichiometry is 721 meV per atom. The value obtained for the volume is 17.0 Å³ per atom.

---

Record 12
This record from Alexandria describes an optimized crystal structure of MgTiVSn2. The functional is PBE.

Unit cell a=5.2085 b=5.2085 c=4.4068 alpha=90.00 beta=90.00 gamma=90.00
Last column: nearest neighbours and their distance in Å.
Space group P4/mmm (No. 123)
Asymmetric unit:
Mg 0.0000 0.0000 0.0000 [1 per cell]  8 Sn 3.41, 4 Ti 3.68
Ti 0.5000 0.5000 0.0000 [1 per cell]  2 V 2.20
V 0.5000 0.5000 0.5000 [1 per cell]  2 Ti 2.20
Sn 0.0000 0.5000 0.5000 [2 per cell]  2 V 2.60

## Properties
The energy of formation comes out at 33 kJ per mole of atoms. Its total DFT energy (no corrections) is -4.9783 eV/atom. The value obtained for the volume is 23.9 Å³ per atom.